! Mn2CoSe | Alexandria via LeMat-Bulk | PBE-GGA | optimized geometry; values from VASP
&SYSTEM
  ibrav = 0, nat = 4, ntyp = 3
/
ATOMIC_SPECIES
Co 58.93 Co.upf
Mn 54.94 Mn.upf
Se 78.96 Se.upf
ATOMIC_POSITIONS crystal
Co 0.7500 0.7500 0.7500
Mn 0.0020 0.0020 0.0020
Mn 0.4980 0.4980 0.4980
Se 0.2500 0.2500 0.2500
CELL_PARAMETERS angstrom
7.3558 -0.2562 -0.1511
6.8066 2.8006 -0.1511
6.8066 1.2229 2.5240
! uncorrected formation energy = 0.20 eV/atom
! energy above the most stable polymorph in this dataset = 0.104 eV per atom